A crystal of ZrS2I relaxed with PBEsol. Source: the Alexandria database, functional meta-GGA SCAN.

Formation energy from raw total energies: 1.527 eV per formula unit
Space group: R-3m
Crystal system: trigonal
Total magnetic moment: 0.00 μB per atom
Total energy: -21.292 eV per atom

```
ZrS2I
1.0
-2.044 2.507 -1.205
-0.234 0.552 -3.399
-7.726 -4.891 -2.014
I S Zr
1 2 1
direct
0.500 0.500 0.500
0.914 0.914 0.259
0.086 0.086 0.741
0.000 0.000 0.000
```